PBE CdCoCl, optimized geometry; space-group type = No. 42; energy above the most stable polymorph in this dataset = 16.7 kJ per mole of atoms; size of the total moment = 0.6423 μB/atom; uncorrected formation energy = 0.159 eV/atom; Fermi-level density of states = 15.26 states/eV per cell
1.0
3.203 0.000 0.000
0.000 5.722 0.000
0.000 0.000 12.871
Cd Co Cl
4 4 4
direct
0.000 0.000 0.000
0.000 0.500 0.500
0.500 0.000 0.500
0.500 0.500 0.000
0.000 0.000 0.663
0.000 0.500 0.163
0.500 0.000 0.163
0.500 0.500 0.663
0.000 0.000 0.288
0.000 0.500 0.788
0.500 0.000 0.788
0.500 0.500 0.288



PBE BIrBr2, optimized geometry; space-group type = No. 122; energy above the most stable polymorph in this dataset = 14.9 kJ per mole of atoms; size of the total moment = 0.0000 μB/atom; uncorrected formation energy = 1.490 eV/atom; Fermi-level density of states = 15.05 states/eV per cell
1.0
5.882 0.000 0.000
0.000 5.882 0.000
0.000 0.000 10.131
B Ir Br
4 4 8
direct
0.000 0.000 0.000
0.000 0.500 0.250
0.500 0.000 0.750
0.500 0.500 0.500
0.000 0.000 0.500
0.000 0.500 0.750
0.500 0.000 0.250
0.500 0.500 0.000
0.236 0.250 0.125
0.250 0.736 0.375
0.250 0.764 0.875
0.264 0.250 0.625
0.736 0.750 0.625
0.750 0.236 0.875
0.750 0.264 0.375
0.764 0.750 0.125



PBE HoLuScMn, optimized geometry; space-group type = No. 216; size of the total moment = 0.5662 μB/atom; Fermi-level density of states = 25.68 states/eV per cell; E_form = 220 meV/atom
1.0
7.265 0.000 0.000
0.000 7.265 0.000
0.000 0.000 7.265
Ho Lu Sc Mn
4 4 4 4
direct
0.000 0.000 0.000
0.000 0.500 0.500
0.500 0.000 0.500
0.500 0.500 0.000
0.000 0.000 0.500
0.000 0.500 0.000
0.500 0.000 0.000
0.500 0.500 0.500
0.250 0.250 0.250
0.250 0.750 0.750
0.750 0.250 0.750
0.750 0.750 0.250
0.250 0.250 0.750
0.250 0.750 0.250
0.750 0.250 0.250
0.750 0.750 0.750



PBE Ce3Ga4Co2, optimized geometry; space-group type = No. 12; size of the total moment = 0.0000 μB/atom; Fermi-level density of states = 5.67 states/eV per cell; E_form = -509 meV/atom
1.0
5.379 -2.142 0.000
5.379 2.142 0.000
-3.343 0.000 7.586
Ce Ga Co
3 4 2
direct
0.000 0.000 0.000
0.314 0.314 0.370
0.686 0.686 0.630
0.015 0.015 0.352
0.261 0.261 0.916
0.739 0.739 0.084
0.985 0.985 0.648
0.394 0.394 0.723
0.606 0.606 0.277



PBE ReRu, optimized geometry; space-group type = No. 217; size of the total moment = 0.0000 μB/atom; Fermi-level density of states = 19.34 states/eV per cell; E_form = 1770 meV/atom
1.0
7.568 0.000 0.000
0.000 7.568 0.000
0.000 0.000 7.568
Re Ru
8 8
direct
0.137 0.137 0.863
0.137 0.863 0.137
0.363 0.363 0.363
0.363 0.637 0.637
0.637 0.363 0.637
0.637 0.637 0.363
0.863 0.137 0.137
0.863 0.863 0.863
0.182 0.182 0.182
0.182 0.818 0.818
0.318 0.318 0.682
0.318 0.682 0.318
0.682 0.318 0.318
0.682 0.682 0.682
0.818 0.182 0.818
0.818 0.818 0.182



PBE TcIrSe2N, optimized geometry; space-group type = No. 123; energy above the most stable polymorph in this dataset = 0.0 kJ per mole of atoms; size of the total moment = 0.7719 μB/atom; uncorrected formation energy = 0.843 eV/atom; Fermi-level density of states = 3.98 states/eV per cell
1.0
5.139 0.000 0.000
0.000 5.139 0.000
0.000 0.000 3.640
Tc Ir Se N
1 1 2 1
direct
0.000 0.000 0.000
0.500 0.500 0.500
0.000 0.500 0.500
0.500 0.000 0.500
0.500 0.500 0.000



PBE CsU2AuS6, optimized geometry; space-group type = No. 15; size of the total moment = 0.2017 μB/atom; uncorrected formation energy = -0.981 eV/atom; Fermi-level density of states = 14.14 states/eV per cell
1.0
6.196 -9.646 0.000
6.196 9.646 0.000
-1.273 0.000 5.283
Cs U Au S
2 4 2 12
direct
0.119 0.881 0.750
0.881 0.119 0.250
0.291 0.456 0.936
0.456 0.291 0.436
0.544 0.709 0.564
0.709 0.544 0.064
0.289 0.711 0.250
0.711 0.289 0.750
0.105 0.247 0.838
0.155 0.577 0.872
0.247 0.105 0.338
0.332 0.456 0.449
0.423 0.845 0.628
0.456 0.332 0.949
0.544 0.668 0.051
0.577 0.155 0.372
0.668 0.544 0.551
0.753 0.895 0.662
0.845 0.423 0.128
0.895 0.753 0.162



PBE La8PmEr2, optimized geometry; space-group type = No. 2; energy above the most stable polymorph in this dataset = 0.0 kJ per mole of atoms; size of the total moment = 0.0000 μB/atom; Fermi-level density of states = 17.01 states/eV per cell; E_form = 69 meV/atom
1.0
6.678 0.000 0.000
-1.044 7.030 0.000
-1.005 -3.296 8.351
La Pm Er
8 1 2
direct
0.016 0.125 0.358
0.096 0.574 0.285
0.244 0.876 0.044
0.423 0.595 0.677
0.577 0.405 0.323
0.756 0.124 0.956
0.904 0.426 0.715
0.984 0.875 0.642
0.500 0.000 0.500
0.297 0.310 0.923
0.703 0.690 0.077



Question: The highest size of the total moment belongs to which entry?
Answer: TcIrSe2N



Question: size of the total moment of number 2 (BIrBr2)?
Answer: 0.0000 μB/atom



What did the first record say?
PBE CdCoCl, optimized geometry; space-group type = No. 42; energy above the most stable polymorph in this dataset = 16.7 kJ per mole of atoms; size of the total moment = 0.6423 μB/atom; uncorrected formation energy = 0.159 eV/atom; Fermi-level density of states = 15.26 states/eV per cell
1.0
3.203 0.000 0.000
0.000 5.722 0.000
0.000 0.000 12.871
Cd Co Cl
4 4 4
direct
0.000 0.000 0.000
0.000 0.500 0.500
0.500 0.000 0.500
0.500 0.500 0.000
0.000 0.000 0.663
0.000 0.500 0.163
0.500 0.000 0.163
0.500 0.500 0.663
0.000 0.000 0.288
0.000 0.500 0.788
0.500 0.000 0.788
0.500 0.500 0.288



What did the eighth record say?
PBE La8PmEr2, optimized geometry; space-group type = No. 2; energy above the most stable polymorph in this dataset = 0.0 kJ per mole of atoms; size of the total moment = 0.0000 μB/atom; Fermi-level density of states = 17.01 states/eV per cell; E_form = 69 meV/atom
1.0
6.678 0.000 0.000
-1.044 7.030 0.000
-1.005 -3.296 8.351
La Pm Er
8 1 2
direct
0.016 0.125 0.358
0.096 0.574 0.285
0.244 0.876 0.044
0.423 0.595 0.677
0.577 0.405 0.323
0.756 0.124 0.956
0.904 0.426 0.715
0.984 0.875 0.642
0.500 0.000 0.500
0.297 0.310 0.923
0.703 0.690 0.077